PBE MgPtSe2, relaxed; space-group type = No. 71; Fermi-level density of states = 0.11 states/eV per atom; formation energy without anion corrections = -702 meV per atom
1.0
-1.887 2.140 6.190
1.887 -2.140 6.190
1.887 2.140 -6.190
Mg Pt Se
1 1 2
direct
0.000 0.000 0.000
0.500 0.500 0.000
0.364 0.864 0.500
0.636 0.136 0.500